# La2PrAg4Ge4 PBE optimized geometry
# Final energy (eV/atom): -4.575
data_La2PrAg4Ge4
_space_group_name_H-M_alt 'I m m m'
_space_group_IT_number 71
_space_group_name_Hall '-I 2 2'
_cell_length_a 4.289
_cell_length_b 4.433
_cell_length_c 26.587
_cell_angle_alpha 90.00
_cell_angle_beta 90.00
_cell_angle_gamma 90.00
loop_
_atom_site_label
_atom_site_fract_x
_atom_site_fract_y
_atom_site_fract_z
La1 0.000 0.000 0.150
Pr1 0.000 0.500 0.000
Ag1 0.000 0.000 0.406
Ag2 0.000 0.500 0.251
Ge1 0.000 0.000 0.310
Ge2 0.000 0.500 0.453

=====

# La2AgGe4Pt PBE optimized geometry
# Final energy (eV/atom): -5.371
data_La2AgGe4Pt
_space_group_name_H-M_alt 'A m m 2'
_space_group_IT_number 38
_cell_length_a 4.469
_cell_length_b 4.454
_cell_length_c 17.646
_cell_angle_alpha 90.00
_cell_angle_beta 90.00
_cell_angle_gamma 90.00
loop_
_space_group_symop_operation_xyz
'x,y,z'
'-x,-y,z'
'-x,y,z'
'x,-y,z'
'x,y+1/2,z+1/2'
'-x,-y+1/2,z+1/2'
'-x,y+1/2,z+1/2'
'x,-y+1/2,z+1/2'
loop_
_atom_site_label
_atom_site_fract_x
_atom_site_fract_y
_atom_site_fract_z
La1 0.000 0.000 0.000
La2 0.500 0.000 0.213
Ag1 0.000 0.000 0.777
Ge1 0.000 0.000 0.358
Ge2 0.000 0.000 0.634
Ge3 0.500 0.000 0.566
Ge4 0.500 0.000 0.859
Pt1 0.500 0.000 0.426

=====

Question: Which of these has the lowest final energy?
Answer: La2AgGe4Pt